# Sc3Ga4Ni8

Sc3Ga4Ni8 after structural relaxation (PBE, Alexandria).

Unit cell a=8.3614 b=8.3614 c=8.3614 alpha=60.00 beta=60.00 gamma=60.00
With the nearest neighbours (Å) after each atom.
Fractional positions:
Ga (0.0000, 0.5000, 0.5000)  8 Ni 2.42-2.58
Ni (0.8777, 0.8777, 0.3670)  4 Ga 2.51-2.58, 3 Ni 2.58, 3 Sc 2.70
Ni (0.0134, 0.3289, 0.3289)  3 Ga 2.42, 6 Ni 2.58-2.64
Sc (0.7284, 0.2716, 0.7284)  5 Ga 2.70-2.97, 8 Ni 2.70-2.94
Ga (0.5000, 0.0000, 0.5000)  8 Ni 2.42-2.58
Ni (0.3670, 0.8777, 0.8777)  4 Ga 2.51-2.58, 3 Ni 2.58, 3 Sc 2.70
Ga (0.5000, 0.0000, 0.0000)  8 Ni 2.42-2.58
Sc (0.2716, 0.2716, 0.7284)  5 Ga 2.70-2.97, 8 Ni 2.70-2.94
Ni (0.6330, 0.1223, 0.1223)  4 Ga 2.51-2.58, 3 Ni 2.58, 3 Sc 2.70
Ni (0.3289, 0.3289, 0.0134)  3 Ga 2.42, 6 Ni 2.58-2.64
Sc (0.2716, 0.7284, 0.7284)  5 Ga 2.70-2.97, 8 Ni 2.70-2.94
Ga (0.0000, 0.5000, 0.0000)  8 Ni 2.42-2.58
Ni (0.3289, 0.0134, 0.3289)  3 Ga 2.42, 6 Ni 2.58-2.64
Ni (0.1223, 0.6330, 0.1223)  4 Ga 2.51-2.58, 3 Ni 2.58, 3 Sc 2.70
Ga (0.0000, 0.0000, 0.0000)  8 Ni 2.51
Ni (0.3289, 0.3289, 0.3289)  3 Ga 2.42, 6 Ni 2.58-2.64
Ni (0.9866, 0.6711, 0.6711)  3 Ga 2.42, 6 Ni 2.58-2.64
Ni (0.6711, 0.6711, 0.9866)  3 Ga 2.42, 6 Ni 2.58-2.64
Ga (0.5000, 0.5000, 0.5000)  6 Sc 2.70
Ni (0.8777, 0.8777, 0.8777)  4 Ga 2.51-2.58, 3 Ni 2.58, 3 Sc 2.70
Ni (0.1223, 0.1223, 0.1223)  4 Ga 2.51-2.58, 3 Ni 2.58, 3 Sc 2.70
Ga (0.0000, 0.0000, 0.5000)  8 Ni 2.42-2.58
Ni (0.1223, 0.1223, 0.6330)  4 Ga 2.51-2.58, 3 Ni 2.58, 3 Sc 2.70
Sc (0.2716, 0.7284, 0.2716)  5 Ga 2.70-2.97, 8 Ni 2.70-2.94
Ni (0.6711, 0.6711, 0.6711)  3 Ga 2.42, 6 Ni 2.58-2.64
Ni (0.8777, 0.3670, 0.8777)  4 Ga 2.51-2.58, 3 Ni 2.58, 3 Sc 2.70
Ni (0.6711, 0.9866, 0.6711)  3 Ga 2.42, 6 Ni 2.58-2.64
Ga (0.5000, 0.5000, 0.0000)  8 Ni 2.42-2.58
Sc (0.7284, 0.2716, 0.2716)  5 Ga 2.70-2.97, 8 Ni 2.70-2.94
Sc (0.7284, 0.7284, 0.2716)  5 Ga 2.70-2.97, 8 Ni 2.70-2.94

Summary:
density of states at the Fermi level = 8.106 states/eV/f.u.
crystal system = cubic
final energy = -5.704 eV/atom
ΔE_f = -53 kJ per mole of atoms

# ScGa6Ni12

ScGa6Ni12 after structural relaxation (PBE, Alexandria).

Unit cell a=6.6602 b=6.6602 c=6.6602 alpha=105.44 beta=105.44 gamma=105.44
With the nearest neighbours (Å) after each atom.
Fractional positions:
Ni (0.1141, 0.5000, 0.8859)  4 Ga 2.32-2.40, 3 Ni 2.42-2.54
Ga (0.2806, 0.2806, 0.7084)  8 Ni 2.32-2.60
Ni (0.5000, 0.1141, 0.8859)  4 Ga 2.32-2.40, 3 Ni 2.42-2.54
Ni (0.1141, 0.8859, 0.5000)  4 Ga 2.32-2.40, 3 Ni 2.42-2.54
Ni (0.8648, 0.6240, 0.6240)  4 Ga 2.49-2.60, 4 Ni 2.54-2.55, 1 Sc 2.76
Ga (0.7194, 0.7194, 0.2916)  8 Ni 2.32-2.60
Ni (0.3760, 0.1352, 0.3760)  4 Ga 2.49-2.60, 4 Ni 2.54-2.55, 1 Sc 2.76
Ni (0.3760, 0.3760, 0.1352)  4 Ga 2.49-2.60, 4 Ni 2.54-2.55, 1 Sc 2.76
Ni (0.5000, 0.8859, 0.1141)  4 Ga 2.32-2.40, 3 Ni 2.42-2.54
Ni (0.6240, 0.6240, 0.8648)  4 Ga 2.49-2.60, 4 Ni 2.54-2.55, 1 Sc 2.76
Ga (0.7194, 0.2916, 0.7194)  8 Ni 2.32-2.60
Ga (0.2916, 0.7194, 0.7194)  8 Ni 2.32-2.60
Ni (0.6240, 0.8648, 0.6240)  4 Ga 2.49-2.60, 4 Ni 2.54-2.55, 1 Sc 2.76
Ni (0.1352, 0.3760, 0.3760)  4 Ga 2.49-2.60, 4 Ni 2.54-2.55, 1 Sc 2.76
Sc (0.0000, 0.0000, 0.0000)  6 Ni 2.76
Ga (0.2806, 0.7084, 0.2806)  8 Ni 2.32-2.60
Ga (0.7084, 0.2806, 0.2806)  8 Ni 2.32-2.60
Ni (0.8859, 0.1141, 0.5000)  4 Ga 2.32-2.40, 3 Ni 2.42-2.54
Ni (0.8859, 0.5000, 0.1141)  4 Ga 2.32-2.40, 3 Ni 2.42-2.54

Summary:
density of states at the Fermi level = 10.059 states/eV/f.u.
crystal system = trigonal
final energy = -5.134 eV/atom
ΔE_f = -19 kJ per mole of atoms